(1)
VASP calculation (PBE) on a relaxed structure of ZnFeAg2.

Cell: 2.8672 4.6918 9.3354 Å, 90.00 90.00 90.00°
With the nearest neighbours (Å) after each atom.
Space group Imm2 (No. 44)
Symmetry-distinct sites (fractional):
1 Zn 0.0000 0.0000 0.0000 [2 per cell]  2 Fe 2.56, 6 Ag 2.73-2.76, 2 Zn 2.87
2 Fe 0.0000 0.5000 0.2722 [2 per cell]  2 Zn 2.56, 6 Ag 2.76, 2 Fe 2.87
3 Ag 0.0000 0.0000 0.5198 [2 per cell]  4 Zn 2.76, 2 Fe 2.76, 4 Ag 2.87-2.91
4 Ag 0.0000 0.5000 0.7486 [2 per cell]  2 Zn 2.73, 4 Fe 2.76, 4 Ag 2.87-2.91

ΔE_f = 0.229 eV/atom
DOS(E_F) = 2.59 states/eV/f.u.
Uncorrected energy = -29.043 eV for the cell shown
Density = 8.91 g cm⁻³

***

(2)
VASP calculation (PBE) on a relaxed structure of Zn6FeAg.

Cell: 3.8038 3.8038 7.9785 Å, 90.00 90.00 90.00°
With the nearest neighbours (Å) after each atom.
Space group P4/mmm (No. 123)
Symmetry-distinct sites (fractional):
1 Zn 0.0000 0.0000 0.0000 [1 per cell]  8 Zn 2.67, 4 Fe 2.69
2 Zn 0.0000 0.0000 0.5000 [1 per cell]  4 Ag 2.69, 8 Zn 2.85
3 Zn 0.0000 0.5000 0.2344 [4 per cell]  2 Fe 2.67, 8 Zn 2.67-2.85, 2 Ag 2.85
4 Fe 0.5000 0.5000 0.0000 [1 per cell]  12 Zn 2.67-2.69
5 Ag 0.5000 0.5000 0.5000 [1 per cell]  12 Zn 2.69-2.85

ΔE_f = 0.015 eV/atom
DOS(E_F) = 3.84 states/eV/f.u.
Uncorrected energy = -18.839 eV for the cell shown
Distance to the lowest polymorph of the same formula = 0.000 eV/atom
Density = 8.00 g cm⁻³

***

(3)
VASP calculation (PBE) on a relaxed structure of ZnFeAg2.

Cell: 2.8096 2.8096 27.7145 Å, 90.00 90.00 120.00°
With the nearest neighbours (Å) after each atom.
Space group R-3m (No. 166, hexagonal axes)
Symmetry-distinct sites (fractional):
1 Zn 0.0000 0.0000 0.0000 [3 per cell]  6 Zn 2.81, 6 Ag 2.84
2 Fe 0.0000 0.0000 0.5000 [3 per cell]  6 Ag 2.80, 6 Fe 2.81
3 Ag 0.0000 0.0000 0.2491 [6 per cell]  3 Fe 2.80, 6 Ag 2.81, 3 Zn 2.84

ΔE_f = 0.205 eV/atom
DOS(E_F) = 2.53 states/eV/f.u.
Uncorrected energy = -43.852 eV for the cell shown
Density = 8.86 g cm⁻³

***

(4)
VASP calculation (PBE) on a relaxed structure of Zn2FeAg.

Cell: 3.6149 3.9796 4.0399 Å, 90.00 90.00 90.00°
With the nearest neighbours (Å) after each atom.
Space group Pmmm (No. 47)
Symmetry-distinct sites (fractional):
1 Zn 0.0000 0.0000 0.0000 [1 per cell]  4 Ag 2.69, 4 Fe 2.71, 4 Zn 2.84
2 Zn 0.0000 0.5000 0.5000 [1 per cell]  4 Fe 2.69, 4 Ag 2.71, 4 Zn 2.84
3 Fe 0.5000 0.0000 0.5000 [1 per cell]  8 Zn 2.69-2.71, 4 Ag 2.84
4 Ag 0.5000 0.5000 0.0000 [1 per cell]  8 Zn 2.69-2.71, 4 Fe 2.84

ΔE_f = 0.117 eV/atom
DOS(E_F) = 3.32 states/eV/f.u.
Uncorrected energy = -13.395 eV for the cell shown
Distance to the lowest polymorph of the same formula = 0.097 eV/atom
Density = 8.42 g cm⁻³

***

(5)
VASP calculation (PBE) on a relaxed structure of Zn6FeAg.

Cell: 2.7079 7.4253 12.9334 Å, 90.00 90.00 90.00°
With the nearest neighbours (Å) after each atom.
Space group Amm2 (No. 38)
Symmetry-distinct sites (fractional):
1 Zn 0.0000 0.0000 0.0000 [2 per cell]  2 Fe 2.51, 2 Ag 2.71, 2 Zn 2.71
2 Zn 0.0000 0.0000 0.4715 [2 per cell]  8 Zn 2.63-2.71
3 Zn 0.0000 0.1825 0.2973 [4 per cell]  2 Fe 2.58, 6 Zn 2.63-2.86, 2 Ag 2.73
4 Zn 0.5000 0.1796 0.6192 [4 per cell]  1 Fe 2.45, 5 Zn 2.67-2.71
5 Fe 0.5000 0.0000 0.1632 [2 per cell]  8 Zn 2.45-2.58, 2 Fe 2.71
6 Ag 0.5000 0.0000 0.8188 [2 per cell]  8 Zn 2.71-2.91, 2 Ag 2.71

ΔE_f = 0.129 eV/atom
DOS(E_F) = 3.63 states/eV/f.u.
Uncorrected energy = -35.851 eV for the cell shown
Distance to the lowest polymorph of the same formula = 0.114 eV/atom
Density = 7.10 g cm⁻³

***

(6)
VASP calculation (PBE) on a relaxed structure of ZnFe3Ag.

Cell: 4.4294 4.4294 4.4294 Å, 90.00 90.00 90.00°
With the nearest neighbours (Å) after each atom.
Space group Pm-3m (No. 221)
Symmetry-distinct sites (fractional):
1 Zn 0.0000 0.0000 0.0000 [1 per cell]  6 Fe 2.21
2 Fe 0.0000 0.0000 0.5000 [3 per cell]  2 Zn 2.21
3 Ag 0.5000 0.5000 0.5000 [1 per cell]  12 Fe 3.13

ΔE_f = 1.154 eV/atom
DOS(E_F) = 7.64 states/eV/f.u.
Uncorrected energy = -23.743 eV for the cell shown
Distance to the lowest polymorph of the same formula = 0.000 eV/atom
Density = 6.51 g cm⁻³

***

(7)
VASP calculation (PBE) on a relaxed structure of Zn2FeAg.

Cell: 4.6901 2.7352 4.9304 Å, 90.00 111.65 90.00°
With the nearest neighbours (Å) after each atom.
Space group P2/m (No. 10)
Symmetry-distinct sites (fractional):
1 Zn 0.0000 0.0000 0.0000 [1 per cell]  2 Fe 2.70, 4 Ag 2.71, 6 Zn 2.74-2.82
2 Zn 0.0000 0.5000 0.5000 [1 per cell]  2 Ag 2.70, 4 Fe 2.71, 6 Zn 2.74-2.82
3 Fe 0.5000 0.0000 0.5000 [1 per cell]  6 Zn 2.70-2.71, 2 Fe 2.74, 4 Ag 2.82
4 Ag 0.5000 0.5000 0.0000 [1 per cell]  6 Zn 2.70-2.71, 2 Ag 2.74, 4 Fe 2.82

ΔE_f = 0.142 eV/atom
DOS(E_F) = 2.90 states/eV/f.u.
Uncorrected energy = -13.293 eV for the cell shown
Distance to the lowest polymorph of the same formula = 0.122 eV/atom
Density = 8.32 g cm⁻³

***

(8)
VASP calculation (PBE) on a relaxed structure of ZnFeAg2.

Cell: 2.8352 2.8352 7.7750 Å, 90.00 90.00 90.00°
With the nearest neighbours (Å) after each atom.
Space group P4/mmm (No. 123)
Symmetry-distinct sites (fractional):
1 Zn 0.0000 0.0000 0.0000 [1 per cell]  8 Ag 2.80, 4 Zn 2.84
2 Fe 0.0000 0.0000 0.5000 [1 per cell]  8 Ag 2.78, 4 Fe 2.84
3 Ag 0.5000 0.5000 0.2519 [2 per cell]  4 Fe 2.78, 4 Zn 2.80, 4 Ag 2.84

ΔE_f = 0.205 eV/atom
DOS(E_F) = 2.26 states/eV/f.u.
Uncorrected energy = -14.618 eV for the cell shown
Density = 8.95 g cm⁻³

***

(9)
VASP calculation (PBE) on a relaxed structure of Zn2FeAg.

Cell: 2.7622 2.7622 26.6128 Å, 90.00 90.00 120.00°
With the nearest neighbours (Å) after each atom.
Space group R-3m (No. 166, hexagonal axes)
Symmetry-distinct sites (fractional):
1 Zn 0.0000 0.0000 0.2442 [6 per cell]  3 Fe 2.61, 6 Zn 2.76, 3 Ag 2.86
2 Fe 0.0000 0.0000 0.5000 [3 per cell]  6 Zn 2.61, 6 Fe 2.76
3 Ag 0.0000 0.0000 0.0000 [3 per cell]  6 Ag 2.76, 6 Zn 2.86

ΔE_f = 0.050 eV/atom
DOS(E_F) = 1.79 states/eV/f.u.
Uncorrected energy = -40.985 eV for the cell shown
Distance to the lowest polymorph of the same formula = 0.030 eV/atom
Density = 8.34 g cm⁻³

***

(10)
VASP calculation (PBE) on a relaxed structure of ZnFeAg2.

Cell: 4.0370 4.0370 7.7040 Å, 90.00 90.00 90.00°
With the nearest neighbours (Å) after each atom.
Space group I-4m2 (No. 119)
Symmetry-distinct sites (fractional):
1 Zn 0.0000 0.0000 0.0000 [2 per cell]  4 Fe 2.79, 8 Ag 2.79-2.85
2 Fe 0.0000 0.5000 0.2500 [2 per cell]  4 Zn 2.79, 8 Ag 2.79-2.85
3 Ag 0.0000 0.0000 0.5000 [2 per cell]  4 Fe 2.79, 4 Ag 2.79, 4 Zn 2.85
4 Ag 0.0000 0.5000 0.7500 [2 per cell]  4 Zn 2.79, 4 Ag 2.79, 4 Fe 2.85

ΔE_f = 0.260 eV/atom
DOS(E_F) = 3.70 states/eV/f.u.
Uncorrected energy = -28.802 eV for the cell shown
Density = 8.91 g cm⁻³

***

(11)
VASP calculation (PBE) on a relaxed structure of ZnFeAg2.

Cell: 6.3220 6.3220 6.3220 Å, 90.00 90.00 90.00°
With the nearest neighbours (Å) after each atom.
Space group F-43m (No. 216)
Symmetry-distinct sites (fractional):
1 Zn 0.0000 0.0000 0.0000 [4 per cell]  4 Fe 2.74, 4 Ag 2.74
2 Fe 0.2500 0.2500 0.2500 [4 per cell]  4 Zn 2.74, 4 Ag 2.74
3 Ag 0.0000 0.0000 0.5000 [4 per cell]  4 Fe 2.74, 4 Ag 2.74
4 Ag 0.2500 0.2500 0.7500 [4 per cell]  4 Zn 2.74, 4 Ag 2.74

ΔE_f = 0.277 eV/atom
DOS(E_F) = 3.11 states/eV/f.u.
Uncorrected energy = -57.327 eV for the cell shown
Density = 8.86 g cm⁻³

***

(12)
VASP calculation (PBE) on a relaxed structure of ZnFeAg2.

Cell: 2.7262 4.4886 5.1966 Å, 90.00 97.58 90.00°
With the nearest neighbours (Å) after each atom.
Space group P2/m (No. 10)
Symmetry-distinct sites (fractional):
1 Zn 0.0000 0.0000 0.0000 [1 per cell]  4 Ag 2.71, 2 Zn 2.73, 2 Fe 2.77
2 Fe 0.5000 0.0000 0.5000 [1 per cell]  2 Fe 2.73, 4 Ag 2.74, 2 Zn 2.77
3 Ag 0.2329 0.5000 0.7492 [2 per cell]  2 Zn 2.71, 4 Ag 2.73-2.81, 2 Fe 2.74

ΔE_f = 0.247 eV/atom
DOS(E_F) = 2.26 states/eV/f.u.
Uncorrected energy = -14.451 eV for the cell shown
Density = 8.88 g cm⁻³

***

(13)
VASP calculation (PBE) on a relaxed structure of Zn2FeAg.

Cell: 5.7151 7.4278 2.7316 Å, 90.00 90.27 90.00°
With the nearest neighbours (Å) after each atom.
Space group C2/m (No. 12)
Symmetry-distinct sites (fractional):
1 Zn 0.2500 0.2500 0.0000 [4 per cell]  4 Fe 2.71-2.72, 4 Ag 2.71-2.72, 4 Zn 2.73-2.86
2 Fe 0.0000 0.0000 0.5000 [2 per cell]  8 Zn 2.71-2.72, 2 Fe 2.73, 2 Ag 2.86
3 Ag 0.0000 0.5000 0.5000 [2 per cell]  8 Zn 2.71-2.72, 2 Ag 2.73, 2 Fe 2.86

ΔE_f = 0.108 eV/atom
DOS(E_F) = 2.26 states/eV/f.u.
Uncorrected energy = -26.861 eV for the cell shown
Distance to the lowest polymorph of the same formula = 0.088 eV/atom
Density = 8.44 g cm⁻³

***

(14)
VASP calculation (PBE) on a relaxed structure of ZnFeAg2.

Cell: 3.0814 4.4832 9.1404 Å, 90.00 90.00 90.00°
With the nearest neighbours (Å) after each atom.
Space group Cmmm (No. 65)
Symmetry-distinct sites (fractional):
1 Zn 0.0000 0.0000 0.0000 [2 per cell]  4 Zn 2.72, 4 Ag 2.78
2 Fe 0.0000 0.0000 0.5000 [2 per cell]  4 Fe 2.72, 4 Ag 2.74
3 Ag 0.0000 0.5000 0.2528 [4 per cell]  4 Ag 2.72, 2 Fe 2.74, 2 Zn 2.78

ΔE_f = 0.236 eV/atom
DOS(E_F) = 1.97 states/eV/f.u.
Uncorrected energy = -28.992 eV for the cell shown
Density = 8.86 g cm⁻³

***

(15)
VASP calculation (PBE) on a relaxed structure of Zn4FeAg.

Cell: 7.0755 7.0755 7.0755 Å, 90.00 90.00 90.00°
With the nearest neighbours (Å) after each atom.
Space group F-43m (No. 216)
Symmetry-distinct sites (fractional):
1 Zn 0.1244 0.1244 0.1244 [16 per cell]  6 Zn 2.49-2.51
2 Fe 0.2500 0.2500 0.7500 [4 per cell]  12 Zn 2.93, 4 Ag 3.06
3 Ag 0.0000 0.0000 0.5000 [4 per cell]  12 Zn 2.93, 4 Fe 3.06

ΔE_f = 0.167 eV/atom
DOS(E_F) = 4.59 states/eV/f.u.
Uncorrected energy = -61.642 eV for the cell shown
Distance to the lowest polymorph of the same formula = 0.153 eV/atom
Density = 7.98 g cm⁻³

***

(16)
VASP calculation (PBE) on a relaxed structure of ZnFe4Ag.

Cell: 6.8680 6.8680 6.8680 Å, 90.00 90.00 90.00°
With the nearest neighbours (Å) after each atom.
Space group F-43m (No. 216)
Symmetry-distinct sites (fractional):
1 Zn 0.0000 0.0000 0.0000 [4 per cell]  12 Fe 2.85, 4 Ag 2.97
2 Fe 0.1258 0.1258 0.3742 [16 per cell]  6 Fe 2.41-2.44
3 Ag 0.2500 0.2500 0.7500 [4 per cell]  12 Fe 2.85, 4 Zn 2.97

ΔE_f = 0.258 eV/atom
DOS(E_F) = 7.67 states/eV/f.u.
Uncorrected energy = -145.723 eV for the cell shown
Density = 8.13 g cm⁻³

***

(17)
VASP calculation (PBE) on a relaxed structure of Zn2FeAg.

Cell: 6.1816 6.1816 6.1816 Å, 90.00 90.00 90.00°
With the nearest neighbours (Å) after each atom.
Space group F-43m (No. 216)
Symmetry-distinct sites (fractional):
1 Zn 0.0000 0.0000 0.0000 [4 per cell]  4 Fe 2.68, 4 Zn 2.68
2 Zn 0.2500 0.2500 0.2500 [4 per cell]  4 Zn 2.68, 4 Ag 2.68
3 Fe 0.2500 0.2500 0.7500 [4 per cell]  4 Zn 2.68, 4 Ag 2.68
4 Ag 0.0000 0.0000 0.5000 [4 per cell]  4 Fe 2.68, 4 Zn 2.68

ΔE_f = 0.209 eV/atom
DOS(E_F) = 4.13 states/eV/f.u.
Uncorrected energy = -52.098 eV for the cell shown
Distance to the lowest polymorph of the same formula = 0.189 eV/atom
Density = 8.28 g cm⁻³

***

(18)
VASP calculation (PBE) on a relaxed structure of Zn2FeAg.

Cell: 2.7493 2.7493 7.8025 Å, 90.00 90.00 90.00°
With the nearest neighbours (Å) after each atom.
Space group P4mm (No. 99)
Symmetry-distinct sites (fractional):
1 Zn 0.0000 0.0000 0.0000 [1 per cell]  4 Fe 2.61, 8 Zn 2.75-2.77
2 Zn 0.5000 0.5000 0.2522 [1 per cell]  8 Zn 2.75-2.77, 4 Ag 2.83
3 Fe 0.5000 0.5000 0.7766 [1 per cell]  4 Zn 2.61, 4 Fe 2.75, 4 Ag 2.81
4 Ag 0.0000 0.0000 0.5166 [1 per cell]  4 Ag 2.75, 4 Fe 2.81, 4 Zn 2.83

ΔE_f = 0.113 eV/atom
DOS(E_F) = 2.09 states/eV/f.u.
Uncorrected energy = -13.411 eV for the cell shown
Distance to the lowest polymorph of the same formula = 0.093 eV/atom
Density = 8.29 g cm⁻³

***

(19)
VASP calculation (PBE) on a relaxed structure of ZnFeAg2.

Cell: 4.6324 4.6324 2.9296 Å, 90.00 90.00 90.00°
With the nearest neighbours (Å) after each atom.
Space group P4/mmm (No. 123)
Symmetry-distinct sites (fractional):
1 Zn 0.0000 0.0000 0.0000 [1 per cell]  8 Ag 2.74, 2 Zn 2.93
2 Fe 0.5000 0.5000 0.0000 [1 per cell]  8 Ag 2.74, 2 Fe 2.93
3 Ag 0.0000 0.5000 0.5000 [2 per cell]  4 Fe 2.74, 4 Zn 2.74, 2 Ag 2.93

ΔE_f = 0.269 eV/atom
DOS(E_F) = 3.47 states/eV/f.u.
Uncorrected energy = -14.365 eV for the cell shown
Density = 8.90 g cm⁻³

***

(20)
VASP calculation (PBE) on a relaxed structure of ZnFeAg2.

Cell: 2.7995 2.7995 7.8821 Å, 90.00 90.00 90.00°
With the nearest neighbours (Å) after each atom.
Space group P4mm (No. 99)
Symmetry-distinct sites (fractional):
1 Zn 0.0000 0.0000 0.0000 [1 per cell]  4 Fe 2.60, 4 Zn 2.80, 4 Ag 2.82
2 Fe 0.5000 0.5000 0.7869 [1 per cell]  4 Zn 2.60, 4 Ag 2.79, 4 Fe 2.80
3 Ag 0.0000 0.0000 0.5372 [1 per cell]  4 Fe 2.79, 8 Ag 2.80-2.98
4 Ag 0.5000 0.5000 0.2550 [1 per cell]  8 Ag 2.80-2.98, 4 Zn 2.82

ΔE_f = 0.127 eV/atom
DOS(E_F) = 1.72 states/eV/f.u.
Uncorrected energy = -14.933 eV for the cell shown
Density = 9.06 g cm⁻³